## TaAs (PBE)

Data for a relaxed TaAs crystal.

Cell lengths 5.3645, 5.3645, 5.3645 Å; angles 48.77, 48.77, 48.77 degrees
With the nearest neighbours (Å) after each atom.
Atoms (fractional coordinates):
As (0.1029, 0.1029, 0.1029)  4 Ta 2.72-2.73, 1 As 2.91
As (0.8971, 0.8971, 0.8971)  4 Ta 2.72-2.73, 1 As 2.91
Ta (0.2959, 0.2959, 0.2959)  4 As 2.72-2.73, 3 Ta 2.77
Ta (0.7041, 0.7041, 0.7041)  4 As 2.72-2.73, 3 Ta 2.77

energy: -31.89 eV/cell
crystal system: trigonal